(one)
! SrCoAg2 SCAN PBEsol geometry; values from VASP
! - theoretical density (g cm⁻³) = 7.73
! - spin magnetization (μB/cell) = 1.770
&SYSTEM
  ibrav = 0, nat = 4, ntyp = 3
/
ATOMIC_SPECIES
Ag 107.87 Ag.upf
Sr 87.62 Sr.upf
Co 58.93 Co.upf
CELL_PARAMETERS angstrom
-1.8869 1.3358 2.0739
-0.2587 -3.8919 2.2713
5.3018 0.8479 2.0568
ATOMIC_POSITIONS angstrom
Ag 2.9536 1.5650 3.0181
Ag 0.4613 0.6187 1.1126
Sr 2.5215 -1.5220 2.1641
Co -1.0728 -1.2781 2.1726

(two)
! SrCoAg2 SCAN PBEsol geometry; values from VASP
! - theoretical density (g cm⁻³) = 7.63
! - spin magnetization (μB/cell) = 1.850
&SYSTEM
  ibrav = 0, nat = 4, ntyp = 3
/
ATOMIC_SPECIES
Ag 107.87 Ag.upf
Sr 87.62 Sr.upf
Co 58.93 Co.upf
CELL_PARAMETERS angstrom
3.4012 0.0000 0.0000
0.0000 3.4012 0.0000
0.0000 0.0000 6.8173
ATOMIC_POSITIONS angstrom
Ag 1.7006 1.7006 1.8556
Ag 0.0000 0.0000 0.3696
Sr 1.7006 1.7006 5.0167
Co 0.0000 0.0000 2.9840

Least stable: (one)

(one)
! SrCoAg2 SCAN PBEsol geometry; values from VASP
! - theoretical density (g cm⁻³) = 7.87
! - spin magnetization (μB/cell) = 1.644
&SYSTEM
  ibrav = 0, nat = 4, ntyp = 3
/
ATOMIC_SPECIES
Ag 107.87 Ag.upf
Co 58.93 Co.upf
Sr 87.62 Sr.upf
CELL_PARAMETERS angstrom
4.2331 0.0000 0.0000
0.0000 4.2331 0.0000
-2.1166 -2.1166 4.2673
ATOMIC_POSITIONS angstrom
Ag 2.1166 0.0000 2.1337
Co 2.1166 2.1166 0.0000
Ag 0.0000 0.0000 0.0000
Sr 0.0000 2.1166 2.1337

(two)
! SrCoAg2 SCAN PBEsol geometry; values from VASP
! - theoretical density (g cm⁻³) = 7.70
! - spin magnetization (μB/cell) = 2.134
&SYSTEM
  ibrav = 0, nat = 4, ntyp = 3
/
ATOMIC_SPECIES
Ag 107.87 Ag.upf
Sr 87.62 Sr.upf
Co 58.93 Co.upf
CELL_PARAMETERS angstrom
-2.6151 0.8239 -1.8673
-1.7123 -2.5374 1.2785
-2.3772 4.2198 5.1910
ATOMIC_POSITIONS angstrom
Ag -0.4484 0.7959 0.9791
Sr -3.3523 1.2531 2.3011
Co -2.1637 -0.8567 -0.2944
Ag -1.9288 3.4238 4.2119

Least stable: (two)

(one)
! Co2TcAg SCAN PBEsol geometry; values from VASP
! - theoretical density (g cm⁻³) = 10.49
! - spin magnetization (μB/cell) = 3.578
&SYSTEM
  ibrav = 0, nat = 4, ntyp = 3
/
ATOMIC_SPECIES
Co 58.93 Co.upf
Ag 107.87 Ag.upf
Tc 98.00 Tc.upf
CELL_PARAMETERS angstrom
-1.5807 1.8160 -0.9823
-2.3468 -2.5908 -1.0131
-2.5082 0.4026 4.7805
ATOMIC_POSITIONS angstrom
Co -2.5947 -0.2861 0.2049
Co -0.0678 0.0109 0.1293
Ag -3.8806 -0.0797 2.6557
Tc -1.1466 0.1840 2.1854

(two)
! Co2TcAg SCAN PBEsol geometry; values from VASP
! - theoretical density (g cm⁻³) = 10.69
! - spin magnetization (μB/cell) = 0.006
&SYSTEM
  ibrav = 0, nat = 4, ntyp = 3
/
ATOMIC_SPECIES
Tc 98.00 Tc.upf
Co 58.93 Co.upf
Ag 107.87 Ag.upf
CELL_PARAMETERS angstrom
-1.8764 -0.1069 1.8569
1.0827 -2.2076 0.9669
4.1244 3.9478 4.3952
ATOMIC_POSITIONS angstrom
Tc -0.3969 -1.1573 1.4119
Co 0.9447 0.9043 1.0067
Ag 1.6653 0.8166 3.6095
Co 3.1797 3.0435 3.3885

Least stable: (one)

(one)
! CoTc2Ag SCAN PBEsol geometry; values from VASP
! - theoretical density (g cm⁻³) = 11.02
! - spin magnetization (μB/cell) = 1.660
&SYSTEM
  ibrav = 0, nat = 4, ntyp = 3
/
ATOMIC_SPECIES
Tc 98.00 Tc.upf
Ag 107.87 Ag.upf
Co 58.93 Co.upf
CELL_PARAMETERS angstrom
2.6501 0.0000 0.0000
0.0000 3.8572 0.0000
0.0000 0.0000 5.3461
ATOMIC_POSITIONS angstrom
Tc 0.0000 0.0000 1.5192
Ag 1.3250 1.9286 0.0000
Co 1.3250 1.9286 2.6731
Tc 0.0000 0.0000 3.8269

(two)
! CoTc2Ag SCAN PBEsol geometry; values from VASP
! - theoretical density (g cm⁻³) = 11.15
! - spin magnetization (μB/cell) = 2.078
&SYSTEM
  ibrav = 0, nat = 4, ntyp = 3
/
ATOMIC_SPECIES
Ag 107.87 Ag.upf
Co 58.93 Co.upf
Tc 98.00 Tc.upf
CELL_PARAMETERS angstrom
3.6630 0.0000 0.0000
0.0000 3.6630 0.0000
0.0000 0.0000 4.0253
ATOMIC_POSITIONS angstrom
Ag 1.8315 1.8315 2.0126
Co 0.0000 0.0000 2.0126
Tc 0.0000 1.8315 0.0000
Tc 1.8315 0.0000 0.0000

Least stable: (two)

(one)
! TlCo2Ag SCAN PBEsol geometry; values from VASP
! - theoretical density (g cm⁻³) = 11.72
! - spin magnetization (μB/cell) = 3.023
&SYSTEM
  ibrav = 0, nat = 4, ntyp = 3
/
ATOMIC_SPECIES
Tl 204.38 Tl.upf
Ag 107.87 Ag.upf
Co 58.93 Co.upf
CELL_PARAMETERS angstrom
-2.5355 -0.7387 1.1876
-0.6398 -2.7915 0.4280
2.4089 -0.8007 8.1751
ATOMIC_POSITIONS angstrom
Tl -0.3832 -2.1654 4.8953
Ag 0.0000 0.0000 0.0000
Co -0.2074 -1.0844 2.4130
Co -0.5591 -3.2464 7.3777

(two)
! TlCo2Ag SCAN PBEsol geometry; values from VASP
! - theoretical density (g cm⁻³) = 11.32
! - spin magnetization (μB/cell) = 3.882
&SYSTEM
  ibrav = 0, nat = 4, ntyp = 3
/
ATOMIC_SPECIES
Tl 204.38 Tl.upf
Co 58.93 Co.upf
Ag 107.87 Ag.upf
CELL_PARAMETERS angstrom
2.9019 0.0000 0.0000
1.4509 2.5131 0.0000
1.4509 0.8377 8.6552
ATOMIC_POSITIONS angstrom
Tl 2.9019 1.6754 4.5127
Co 4.3528 2.5131 6.8140
Ag 1.4509 0.8377 1.8941
Co 1.4509 0.8377 8.4173

Least stable: (one)

(one)
! Co2AgW SCAN PBEsol geometry; values from VASP
! - theoretical density (g cm⁻³) = 13.25
! - spin magnetization (μB/cell) = 0.011
&SYSTEM
  ibrav = 0, nat = 4, ntyp = 3
/
ATOMIC_SPECIES
Ag 107.87 Ag.upf
W 183.84 W.upf
Co 58.93 Co.upf
CELL_PARAMETERS angstrom
2.6852 0.0000 0.0000
0.0000 4.4333 0.0396
0.0000 -1.0771 4.3006
ATOMIC_POSITIONS angstrom
Ag 1.3426 1.6781 2.1701
W 1.3426 0.0000 0.0000
Co 0.0000 2.2166 0.0198
Co 0.0000 -0.5385 2.1503

(two)
! Co2AgW SCAN PBEsol geometry; values from VASP
! - theoretical density (g cm⁻³) = 12.97
! - spin magnetization (μB/cell) = 2.975
&SYSTEM
  ibrav = 0, nat = 4, ntyp = 3
/
ATOMIC_SPECIES
Co 58.93 Co.upf
W 183.84 W.upf
Ag 107.87 Ag.upf
CELL_PARAMETERS angstrom
2.6498 0.0000 0.0000
0.0000 3.7518 0.0000
0.0000 0.0000 5.2750
ATOMIC_POSITIONS angstrom
Co 1.3249 1.8759 1.3304
W 0.0000 0.0000 2.4298
Co 0.0000 0.0000 0.1083
Ag 1.3249 1.8759 4.0441

(three)
! Co2AgW SCAN PBEsol geometry; values from VASP
! - theoretical density (g cm⁻³) = 13.32
! - spin magnetization (μB/cell) = 1.021
&SYSTEM
  ibrav = 0, nat = 4, ntyp = 3
/
ATOMIC_SPECIES
Co 58.93 Co.upf
W 183.84 W.upf
Ag 107.87 Ag.upf
CELL_PARAMETERS angstrom
-0.3500 -0.7505 3.1261
-1.4133 -3.5721 -1.0158
3.6887 -1.4761 0.0586
ATOMIC_POSITIONS angstrom
Co 1.8444 -0.7381 0.0293
W 0.9627 -2.8994 1.0845
Ag -0.1750 -0.3753 1.5631
Co -0.7067 -1.7860 -0.5079

Least stable: (three)

(one)
! ZrCo2Ag SCAN PBEsol geometry; values from VASP
! - theoretical density (g cm⁻³) = 8.94
! - spin magnetization (μB/cell) = 3.684
&SYSTEM
  ibrav = 0, nat = 4, ntyp = 3
/
ATOMIC_SPECIES
Co 58.93 Co.upf
Zr 91.22 Zr.upf
Ag 107.87 Ag.upf
CELL_PARAMETERS angstrom
2.7595 0.0000 0.0000
1.3798 2.3898 0.0000
1.3798 0.7966 8.9228
ATOMIC_POSITIONS angstrom
Co 1.3798 0.7966 1.9522
Zr 2.7595 1.5932 4.3039
Co 4.1393 2.3898 0.2104
Ag 4.1393 2.3898 6.9177

(two)
! ZrCo2Ag SCAN PBEsol geometry; values from VASP
! - theoretical density (g cm⁻³) = 9.40
! - spin magnetization (μB/cell) = 2.558
&SYSTEM
  ibrav = 0, nat = 4, ntyp = 3
/
ATOMIC_SPECIES
Zr 91.22 Zr.upf
Ag 107.87 Ag.upf
Co 58.93 Co.upf
CELL_PARAMETERS angstrom
-1.7672 2.5967 -2.9246
-0.4089 -4.2594 -0.3858
-3.8137 -1.8556 0.6569
ATOMIC_POSITIONS angstrom
Zr 0.0000 0.0000 0.0000
Ag -2.7905 0.3705 -1.1339
Co -1.5997 -1.9444 -0.7598
Co -4.3902 -1.5739 -1.8937

Least stable: (one)

(one)
! Zr2CoAg SCAN PBEsol geometry; values from VASP
! - theoretical density (g cm⁻³) = 8.84
! - spin magnetization (μB/cell) = 0.000
&SYSTEM
  ibrav = 0, nat = 4, ntyp = 3
/
ATOMIC_SPECIES
Zr 91.22 Zr.upf
Co 58.93 Co.upf
Ag 107.87 Ag.upf
CELL_PARAMETERS angstrom
4.5278 0.0000 0.0000
2.2639 3.9212 0.0000
2.2639 1.3071 3.6969
ATOMIC_POSITIONS angstrom
Zr 0.0000 0.0000 0.0000
Zr 6.7917 3.9212 2.7727
Co 2.2639 1.3071 0.9242
Ag 4.5278 2.6141 1.8485

(two)
! Zr2CoAg SCAN PBEsol geometry; values from VASP
! - theoretical density (g cm⁻³) = 8.30
! - spin magnetization (μB/cell) = 0.433
&SYSTEM
  ibrav = 0, nat = 4, ntyp = 3
/
ATOMIC_SPECIES
Co 58.93 Co.upf
Zr 91.22 Zr.upf
Ag 107.87 Ag.upf
CELL_PARAMETERS angstrom
-1.4866 -2.4154 1.5937
3.2990 0.1149 3.2515
-2.4853 3.1013 2.3820
ATOMIC_POSITIONS angstrom
Co -0.3364 0.4004 3.6136
Zr 1.6495 0.0575 1.6257
Zr -1.2426 1.5507 1.1910
Ag -0.7433 -1.2077 0.7969

(three)
! Zr2CoAg SCAN PBEsol geometry; values from VASP
! - theoretical density (g cm⁻³) = 8.41
! - spin magnetization (μB/cell) = 1.329
&SYSTEM
  ibrav = 0, nat = 4, ntyp = 3
/
ATOMIC_SPECIES
Co 58.93 Co.upf
Ag 107.87 Ag.upf
Zr 91.22 Zr.upf
CELL_PARAMETERS angstrom
-0.4625 1.3929 2.6327
0.1207 -2.6533 1.4250
7.4914 0.8157 0.8844
ATOMIC_POSITIONS angstrom
Co 3.5748 -0.2223 2.4710
Ag -0.1709 -0.6302 2.0288
Zr 5.3781 0.5856 0.6349
Zr 2.1132 0.2301 0.2495

Least stable: (one)

(one)
! CrCuAg2 SCAN PBEsol geometry; values from VASP
! - theoretical density (g cm⁻³) = 9.24
! - spin magnetization (μB/cell) = 3.966
&SYSTEM
  ibrav = 0, nat = 4, ntyp = 3
/
ATOMIC_SPECIES
Cr 52.00 Cr.upf
Cu 63.55 Cu.upf
Ag 107.87 Ag.upf
CELL_PARAMETERS angstrom
-1.1514 -2.6377 -1.1122
-1.0159 -0.7442 2.8168
-5.4233 2.8722 -1.1971
ATOMIC_POSITIONS angstrom
Cr -2.8412 1.5047 -0.6271
Cu -5.0810 0.4260 -0.0300
Ag -5.3059 2.8100 -1.1712
Ag -2.4975 -0.9422 0.5402

(two)
! CrCuAg2 SCAN PBEsol geometry; values from VASP
! - theoretical density (g cm⁻³) = 9.17
! - spin magnetization (μB/cell) = 4.205
&SYSTEM
  ibrav = 0, nat = 4, ntyp = 3
/
ATOMIC_SPECIES
Cr 52.00 Cr.upf
Ag 107.87 Ag.upf
Cu 63.55 Cu.upf
CELL_PARAMETERS angstrom
-1.9179 -0.9100 1.9887
1.1613 -3.4280 -0.4487
3.8529 0.7727 4.0689
ATOMIC_POSITIONS angstrom
Cr -0.3783 -2.1690 0.7700
Ag 0.9940 0.1993 1.0498
Ag 0.9410 -0.3367 5.0078
Cu 1.5482 -1.7827 2.8045

Least stable: (two)

(one)
! K2CrAg SCAN PBEsol geometry; values from VASP
! - theoretical density (g cm⁻³) = 3.42
! - spin magnetization (μB/cell) = 4.974
&SYSTEM
  ibrav = 0, nat = 4, ntyp = 3
/
ATOMIC_SPECIES
K 39.10 K.upf
Cr 52.00 Cr.upf
Ag 107.87 Ag.upf
CELL_PARAMETERS angstrom
-1.6367 -2.8198 -1.0388
1.7749 -2.8214 -0.7738
-0.7970 -5.3811 10.2266
ATOMIC_POSITIONS angstrom
K -0.1747 -2.7972 2.2323
Cr 0.0000 0.0000 0.0000
Ag -0.3294 -5.5111 4.2070
K -0.4841 -8.2251 6.1818

(two)
! K2CrAg SCAN PBEsol geometry; values from VASP
! - theoretical density (g cm⁻³) = 3.44
! - spin magnetization (μB/cell) = 5.270
&SYSTEM
  ibrav = 0, nat = 4, ntyp = 3
/
ATOMIC_SPECIES
K 39.10 K.upf
Cr 52.00 Cr.upf
Ag 107.87 Ag.upf
CELL_PARAMETERS angstrom
-3.3548 -4.1597 -1.1215
5.3975 -0.6450 -0.4608
2.6922 -3.1339 3.5701
ATOMIC_POSITIONS angstrom
K 0.0000 0.0000 0.0000
K 2.5331 -2.1459 0.3817
Cr 2.2019 -5.7927 1.6060
Ag -0.3313 -3.6468 1.2243

Least stable: (one)

(one)
! KCrAg2 SCAN PBEsol geometry; values from VASP
! - theoretical density (g cm⁻³) = 5.44
! - spin magnetization (μB/cell) = 4.768
&SYSTEM
  ibrav = 0, nat = 4, ntyp = 3
/
ATOMIC_SPECIES
Cr 52.00 Cr.upf
Ag 107.87 Ag.upf
K 39.10 K.upf
CELL_PARAMETERS angstrom
-2.8950 0.1414 0.8765
-0.7846 -4.0866 -1.9322
2.2893 -3.0825 5.5899
ATOMIC_POSITIONS angstrom
Cr -0.3885 -1.1221 2.5310
Ag -2.3423 -2.8268 1.4830
Ag -2.3751 -0.0330 1.0343
K 0.5176 -4.3748 3.5955

(two)
! KCrAg2 SCAN PBEsol geometry; values from VASP
! - theoretical density (g cm⁻³) = 6.25
! - spin magnetization (μB/cell) = 4.629
&SYSTEM
  ibrav = 0, nat = 4, ntyp = 3
/
ATOMIC_SPECIES
Ag 107.87 Ag.upf
K 39.10 K.upf
Cr 52.00 Cr.upf
CELL_PARAMETERS angstrom
-1.9159 -1.8687 -1.4819
0.0146 -2.9988 0.6049
-7.5526 -0.2109 6.8727
ATOMIC_POSITIONS angstrom
Ag -6.8513 -3.8576 4.2491
K 0.0000 0.0000 0.0000
Ag -2.6027 -1.2208 1.7466
Cr -4.7270 -2.5392 2.9979

(three)
! KCrAg2 SCAN PBEsol geometry; values from VASP
! - theoretical density (g cm⁻³) = 5.84
! - spin magnetization (μB/cell) = 4.169
&SYSTEM
  ibrav = 0, nat = 4, ntyp = 3
/
ATOMIC_SPECIES
Cr 52.00 Cr.upf
Ag 107.87 Ag.upf
K 39.10 K.upf
CELL_PARAMETERS angstrom
-0.8435 -1.8391 -2.5569
0.0281 -2.7426 1.9634
-7.6693 1.1425 1.7057
ATOMIC_POSITIONS angstrom
Cr -0.4077 -2.2908 -0.2968
Ag -1.3984 0.2078 0.3103
Ag -7.1144 -0.9044 -1.1615
K -4.2424 -1.7196 0.5561

Least stable: (two)

(one)
! La2CrAg SCAN PBEsol geometry; values from VASP
! - theoretical density (g cm⁻³) = 7.13
! - spin magnetization (μB/cell) = 3.823
&SYSTEM
  ibrav = 0, nat = 4, ntyp = 3
/
ATOMIC_SPECIES
La 138.91 La.upf
Ag 107.87 Ag.upf
Cr 52.00 Cr.upf
CELL_PARAMETERS angstrom
3.6652 0.0000 0.0000
0.0000 5.2740 0.0000
0.0000 0.0000 5.2740
ATOMIC_POSITIONS angstrom
La 0.0000 0.0000 2.6370
La 0.0000 2.6370 0.0000
Ag 1.8326 0.0000 0.0000
Cr 1.8326 2.6370 2.6370

(two)
! La2CrAg SCAN PBEsol geometry; values from VASP
! - theoretical density (g cm⁻³) = 7.11
! - spin magnetization (μB/cell) = 2.938
&SYSTEM
  ibrav = 0, nat = 4, ntyp = 3
/
ATOMIC_SPECIES
Cr 52.00 Cr.upf
Ag 107.87 Ag.upf
La 138.91 La.upf
CELL_PARAMETERS angstrom
-3.2770 0.1102 -0.1494
1.5855 -3.5309 -1.3256
-0.4401 -2.1230 8.0888
ATOMIC_POSITIONS angstrom
Cr -1.6385 0.0551 -0.0747
Ag -0.2200 -1.0615 4.0444
La -2.0034 -3.3021 5.4553
La -0.1282 -2.2416 1.1586

Least stable: (two)

(one)
! MnCrAg SCAN PBEsol geometry; values from VASP
! - theoretical density (g cm⁻³) = 7.04
! - spin magnetization (μB/cell) = 0.153
&SYSTEM
  ibrav = 0, nat = 3, ntyp = 3
/
ATOMIC_SPECIES
Mn 54.94 Mn.upf
Ag 107.87 Ag.upf
Cr 52.00 Cr.upf
CELL_PARAMETERS angstrom
4.1530 0.0000 0.0000
2.0765 3.5966 0.0000
2.0765 1.1989 3.3909
ATOMIC_POSITIONS angstrom
Mn 0.0000 0.0000 0.0000
Ag 4.1530 2.3977 1.6955
Cr 2.0765 1.1989 0.8477

(two)
! MnCrAg SCAN PBEsol geometry; values from VASP
! - theoretical density (g cm⁻³) = 8.41
! - spin magnetization (μB/cell) = 0.040
&SYSTEM
  ibrav = 0, nat = 3, ntyp = 3
/
ATOMIC_SPECIES
Mn 54.94 Mn.upf
Cr 52.00 Cr.upf
Ag 107.87 Ag.upf
CELL_PARAMETERS angstrom
2.7404 0.0000 0.0000
0.0000 4.2287 0.0000
0.0000 -2.1143 3.6621
ATOMIC_POSITIONS angstrom
Mn 1.0743 2.1143 1.2207
Cr 1.6431 0.0000 2.4414
Ag 0.0230 0.0000 0.0000

Least stable: (one)

(one)
! CrAgMo2 SCAN PBEsol geometry; values from VASP
! - theoretical density (g cm⁻³) = 10.03
! - spin magnetization (μB/cell) = 0.003
&SYSTEM
  ibrav = 0, nat = 4, ntyp = 3
/
ATOMIC_SPECIES
Ag 107.87 Ag.upf
Mo 95.94 Mo.upf
Cr 52.00 Cr.upf
CELL_PARAMETERS angstrom
-0.8601 -2.4112 0.3307
0.5848 -0.8753 -4.8611
4.0030 -1.0496 2.7592
ATOMIC_POSITIONS angstrom
Ag -0.4301 -1.2056 0.1653
Mo 2.0015 -0.5248 1.3796
Cr 1.8638 -2.1680 -0.8857
Mo 0.2924 -0.4376 -2.4306

(two)
! CrAgMo2 SCAN PBEsol geometry; values from VASP
! - theoretical density (g cm⁻³) = 9.78
! - spin magnetization (μB/cell) = 2.727
&SYSTEM
  ibrav = 0, nat = 4, ntyp = 3
/
ATOMIC_SPECIES
Mo 95.94 Mo.upf
Cr 52.00 Cr.upf
Ag 107.87 Ag.upf
CELL_PARAMETERS angstrom
4.3874 0.0000 0.0000
2.1937 3.7996 0.0000
2.1937 1.2665 3.5823
ATOMIC_POSITIONS angstrom
Mo 0.0000 0.0000 0.0000
Cr 6.5811 3.7996 2.6867
Ag 4.3874 2.5331 1.7912
Mo 2.1937 1.2665 0.8956

Least stable: (one)